(1)
{
  "formula": "CaZrW2",
  "functional": "SCAN",
  "state": "PBEsol geometry",
  "lattice": [[3.9683, 0.0000, 0.0000], [0.0000, 3.9683, 0.0000], [-1.9842, -1.9842, 4.7917]],
  "species": ["Ca", "W", "W", "Zr"],
  "fractional_positions": [[0.0000, 0.0000, 0.0000], [0.7500, 0.2500, 0.5000], [0.2500, 0.7500, 0.5000], [0.5000, 0.5000, 0.0000]],
  "vol_a3_per_atom": 18.86,
  "e_tot_ev_per_atom": -44.0428,
  "ef_ev_per_atom": 0.892,
  "polymorph_energy_kj_per_mol_atoms": 44.5
}

***

(2)
{
  "formula": "CsAs2AuBr",
  "functional": "SCAN",
  "state": "PBEsol geometry",
  "lattice": [[4.9588, 0.0000, 0.0000], [0.0000, 4.9588, 0.0000], [0.0000, 0.0000, 6.4483]],
  "species": ["Cs", "As", "As", "Au", "Br"],
  "fractional_positions": [[0.5000, 0.5000, 0.5000], [0.0000, 0.5000, 0.0000], [0.5000, 0.0000, 0.0000], [0.0000, 0.0000, 0.0000], [0.0000, 0.0000, 0.5000]],
  "vol_a3_per_atom": 31.71,
  "e_tot_ev_per_atom": -33.4887,
  "formation_energy_uncorrected_ev_per_fu": -0.6
}

***

(3)
{
  "formula": "Fe3Re",
  "functional": "SCAN",
  "state": "PBEsol geometry",
  "lattice": [[-4.2439, 2.6571, -0.3461], [1.7213, -2.5108, -3.9904], [-4.2483, -6.4920, 2.2523]],
  "species": ["Fe", "Fe", "Fe", "Fe", "Fe", "Fe", "Fe", "Fe", "Fe", "Fe", "Fe", "Fe", "Re", "Re", "Re", "Re"],
  "fractional_positions": [[0.0000, 0.5000, 0.0000], [0.0000, 0.5000, 0.5000], [0.8290, 0.1710, 0.2500], [0.8290, 0.6579, 0.2500], [0.6579, 0.8290, 0.7500], [0.5000, 0.5000, 0.0000], [0.5000, 0.5000, 0.5000], [0.5000, 0.0000, 0.0000], [0.5000, 0.0000, 0.5000], [0.3421, 0.1710, 0.2500], [0.1710, 0.3421, 0.7500], [0.1710, 0.8290, 0.7500], [0.0000, 0.0000, 0.0000], [0.0000, 0.0000, 0.5000], [0.6667, 0.3333, 0.7500], [0.3333, 0.6667, 0.2500]],
  "vol_a3_per_atom": 11.02,
  "e_tot_ev_per_atom": -31.1019,
  "ef_ev_per_atom": 0.270
}